# 1
The following is a PBE-GGA calculation of a relaxed structure of TlSi2Se, from Alexandria via LeMat-Bulk.

It has space group P2/m (No. 10), with a = 3.916 Å, b = 4.767 Å, c = 5.341 Å, α = 90.00°, β = 93.87° and γ = 90.00°. The distinct sites, in fractional coordinates, are Tl at (0.000, 0.000, 0.000), Si at (0.262, 0.500, 0.632) and Se at (0.500, 0.000, 0.500).

The calculation puts the density of states at the Fermi level at 0.406 states/eV per atom. The polymorph energy (0 for the lowest one) comes out at 0.535 eV per formula unit. The uncorrected formation energy is 107 kJ/mol of formula units.

***

# 2
The following is a PBE-GGA calculation of a relaxed structure of LaSb2W, from Alexandria via LeMat-Bulk.

It has space group R3m (No. 160, hexagonal axes), with a = 3.4991 Å, b = 3.4991 Å, c = 29.3543 Å, α = 90.00°, β = 90.00° and γ = 120.00°. The distinct sites, in fractional coordinates, are La at (0.0000, 0.0000, 0.0000), Sb at (0.0000, 0.0000, 0.2393), Sb at (0.0000, 0.0000, 0.4761) and W at (0.0000, 0.0000, 0.7469).

The calculation puts the density of states at the Fermi level at 0.960 states/eV per atom. The polymorph energy (0 for the lowest one) comes out at 2.111 eV per formula unit. The uncorrected formation energy is 142 kJ/mol of formula units.

***

# 3
The following is a PBE-GGA calculation of a relaxed structure of LiTcBr2, from Alexandria via LeMat-Bulk.

It has space group Cm (No. 8), with a = 15.359 Å, b = 3.299 Å, c = 3.300 Å, α = 90.00°, β = 90.07° and γ = 90.00°. The distinct sites, in fractional coordinates, are Li at (0.000, 0.000, 0.000), Tc at (0.379, 0.000, 0.500), Br at (0.055, 0.500, 0.500) and Br at (0.300, 0.500, 0.999).

The calculation puts the density of states at the Fermi level at 0.185 states/eV per atom. The polymorph energy (0 for the lowest one) comes out at 0.003 eV per formula unit. The uncorrected formation energy is -40 kJ/mol of formula units.

***

# 4
The following is a PBE-GGA calculation of a relaxed structure of RbPO3, from Alexandria via LeMat-Bulk.

It has space group P2_1/m (No. 11), with a = 6.371 Å, b = 4.761 Å, c = 6.495 Å, α = 90.00°, β = 119.30° and γ = 90.00°. The distinct sites, in fractional coordinates, are Rb at (0.174, 0.250, 0.349), P at (0.454, 0.750, 0.910), O at (0.319, 0.750, 0.641) and O at (0.327, 0.000, 0.001).

The calculation puts the density of states at the Fermi level at 0.000 states/eV per atom. The uncorrected formation energy is -1005 kJ/mol of formula units.

***

# 5
The following is a PBE-GGA calculation of a relaxed structure of HfRuI2O, from Alexandria via LeMat-Bulk.

It has space group P4/mmm (No. 123), with a = 5.558 Å, b = 5.558 Å, c = 3.687 Å, α = 90.00°, β = 90.00° and γ = 90.00°. The distinct sites, in fractional coordinates, are Hf at (0.000, 0.000, 0.000), Ru at (0.500, 0.500, 0.500), I at (0.000, 0.500, 0.500) and O at (0.500, 0.500, 0.000).

The calculation puts the density of states at the Fermi level at 1.324 states/eV per atom. The polymorph energy (0 for the lowest one) comes out at 2.045 eV per formula unit. The uncorrected formation energy is 85 kJ/mol of formula units.

***

# 6
The following is a PBE-GGA calculation of a relaxed structure of La4Pr4Er3, from Alexandria via LeMat-Bulk.

It has space group Immm (No. 71), with a = 3.693 Å, b = 9.638 Å, c = 22.226 Å, α = 90.00°, β = 90.00° and γ = 90.00°. The distinct sites, in fractional coordinates, are La at (0.000, 0.168, 0.143), Pr at (0.000, 0.311, 0.000), Pr at (0.000, 0.500, 0.234), Er at (0.000, 0.000, 0.397) and Er at (0.000, 0.500, 0.500).

The calculation puts the density of states at the Fermi level at 1.518 states/eV per atom. The polymorph energy (0 for the lowest one) comes out at 0.000 eV per formula unit. The energy of formation is 0.1118 eV per atom.